Entry 1:
Crystalline KCd5 at its relaxed geometry. Source: the Open Quantum Materials Database, functional PBE-GGA.

The offset from the most stable computed form is 76 meV per atom.

It has space group C2/c (No. 15), with a = 6.792 Å, b = 12.298 Å, c = 8.507 Å, α = 90.00°, β = 112.45° and γ = 90.00°. The asymmetric unit holds K at (0.000, 0.176, 0.250), Cd at (0.000, 0.128, 0.750), Cd at (0.073, 0.337, 0.947) and Cd at (0.208, 0.449, 0.396).

Entry 2:
Crystalline LiYTlPd at its relaxed geometry. Source: the Open Quantum Materials Database, functional PBE-GGA.

The offset from the most stable computed form is 0 meV per atom.

It has space group F-43m (No. 216), with a = 6.837 Å, b = 6.837 Å, c = 6.837 Å, α = 90.00°, β = 90.00° and γ = 90.00°. The asymmetric unit holds Li at (0.000, 0.000, 0.000), Y at (0.250, 0.250, 0.750), Tl at (0.250, 0.250, 0.250) and Pd at (0.000, 0.000, 0.500).

Entry 3:
Crystalline ZnAsPtAu at its relaxed geometry. Source: the Open Quantum Materials Database, functional PBE-GGA.

The offset from the most stable computed form is 81 meV per atom.

It has space group F-43m (No. 216), with a = 6.480 Å, b = 6.480 Å, c = 6.480 Å, α = 90.00°, β = 90.00° and γ = 90.00°. The asymmetric unit holds Zn at (0.000, 0.000, 0.000), As at (0.250, 0.250, 0.750), Pt at (0.000, 0.000, 0.500) and Au at (0.250, 0.250, 0.250).

Entry 4:
Crystalline YHo3Er2Bi2Os at its relaxed geometry. Source: the Open Quantum Materials Database, functional PBE-GGA.

The value obtained for the final energy is -5.95 eV/atom.

It has space group Amm2 (No. 38), with a = 4.228 Å, b = 14.324 Å, c = 8.251 Å, α = 90.00°, β = 90.00° and γ = 90.00°. The asymmetric unit holds Y at (0.000, 0.000, 0.000), Ho at (0.500, 0.000, 0.379), Ho at (0.500, 0.194, 0.957), Er at (0.000, 0.117, 0.648), Bi at (0.000, 0.167, 0.265) and Os at (0.500, 0.000, 0.761).

Entry 5:
Crystalline ZrCo2Au at its relaxed geometry. Source: the Open Quantum Materials Database, functional PBE-GGA.

The value obtained for the energy relative to the elements is 0.015 eV/atom.

It has space group F-43m (No. 216), with a = 6.305 Å, b = 6.305 Å, c = 6.305 Å, α = 90.00°, β = 90.00° and γ = 90.00°. The asymmetric unit holds Zr at (0.000, 0.000, 0.000), Co at (0.000, 0.000, 0.500), Co at (0.250, 0.250, 0.750) and Au at (0.250, 0.250, 0.250).

Entry 6:
Crystalline La3Nb3W2N12 at its relaxed geometry. Source: the Open Quantum Materials Database, functional PBE-GGA.

The value obtained for the final energy is -9.47 eV/atom.

It has space group Ia-3d (No. 230), with a = 13.114 Å, b = 13.114 Å, c = 13.114 Å, α = 90.00°, β = 90.00° and γ = 90.00°. The asymmetric unit holds La at (0.000, 0.250, 0.125), Nb at (0.000, 0.250, 0.375), W at (0.000, 0.000, 0.000) and N at (0.031, 0.048, 0.645).